1.
CaLa2Hg: optimized geometry, GGA-PBE.

Computed properties:
- Fermi-level density of states (states/eV/f.u.) = 5.0
- crystal system = trigonal
- formation energy (eV per atom) = -0.124

Lattice parameters (Å, degrees): 11.445 11.445 11.445 19.32 19.32 19.32
Positions (direct):
Ca  0.000  0.000  0.000
La  0.239  0.239  0.239
La  0.761  0.761  0.761
Hg  0.500  0.500  0.500

***

2.
NaHf2CuAu: optimized geometry, GGA-PBE.

Computed properties:
- Fermi-level density of states (states/eV/f.u.) = 6.8
- crystal system = tetragonal
- formation energy (eV per atom) = 0.630

Lattice parameters (Å, degrees): 4.854 4.854 4.835 90.00 90.00 90.00
Positions (direct):
Na  0.000  0.000  0.000
Hf  0.000  0.500  0.500
Hf  0.500  0.000  0.500
Cu  0.000  0.000  0.500
Au  0.500  0.500  0.000

***

Number 1: size of the total moment 0.00 μB/cell, theoretical density 6.0 g/cm3. Number 2: size of the total moment 0.00 μB/cell, theoretical density 9.3 g/cm3.